(1)
Entry from Alexandria via LeMat-Bulk: a relaxed structure of Ca2Si2Pd5Pb (PBE-GGA).

a b c (Å): 3.5366 10.3463 10.3463
angles (deg): 90.00 90.00 90.00
Element x y z (fractional)
Pd 0.5000 0.5677 0.7235
Pd 0.5000 0.7235 0.4323
Ca 0.0000 0.3234 0.8234
Si 0.0000 0.6207 0.8793
Pb 0.0000 0.5000 0.5000
Pd 0.5000 0.0000 0.5000
Ca 0.0000 0.8234 0.6766
Si 0.0000 0.1207 0.6207
Si 0.0000 0.8793 0.3793
Pd 0.5000 0.5000 0.0000
Pd 0.5000 0.7765 0.9323
Si 0.0000 0.3793 0.1207
Pd 0.5000 0.9323 0.2235
Pd 0.5000 0.2765 0.5677
Ca 0.0000 0.1766 0.3234
Pd 0.5000 0.2235 0.0677
Pd 0.5000 0.0677 0.7765
Pd 0.5000 0.4323 0.2765
Pb 0.0000 0.0000 0.0000
Ca 0.0000 0.6766 0.1766

Computed properties:
Energy relative to the elements, uncorrected ... -64.17 kJ/mol of atoms
Space group ... P4/mbm, No. 127
DOS at the Fermi energy ... 0.659 states/eV per atom


(2)
Entry from Alexandria via LeMat-Bulk: a relaxed structure of La2CdGaIr (PBE-GGA).

a b c (Å): 4.6214 7.5143 7.9746
angles (deg): 109.61 90.00 90.00
Element x y z (fractional)
Ir 0.7500 0.1254 0.0898
Ga 0.2500 0.5499 0.6809
La 0.7500 0.7260 0.0546
Ga 0.7500 0.4501 0.3191
Cd 0.2500 0.6693 0.3487
Ir 0.2500 0.8746 0.9102
La 0.2500 0.1395 0.3384
Cd 0.7500 0.3307 0.6513
La 0.2500 0.2740 0.9454
La 0.7500 0.8605 0.6616

Computed properties:
Space group ... P2_1/m, No. 11
E_form ... -566 meV/atom
DOS at the Fermi energy ... 0.720 states/eV per atom


(3)
Entry from Alexandria via LeMat-Bulk: a relaxed structure of Ce2ThS4 (PBE-GGA).

a b c (Å): 3.9337 6.9851 13.2735
angles (deg): 90.00 90.00 106.35
Last column: magnetic moment on the atom in μB.
Element x y z (fractional)
S 0.2238 0.4477 0.6278  -0.02
Th 0.3751 0.7501 0.2500  0.11
Ce 0.8655 0.7310 0.9328  0.95
S 0.5000 0.0000 0.0000  -0.03
S 0.7762 0.5523 0.1278  -0.02
S 0.0258 0.0517 0.2500  -0.01
Th 0.6249 0.2499 0.7500  0.11
S 0.5000 0.0000 0.5000  -0.03
Ce 0.1345 0.2690 0.4328  0.95
Ce 0.1345 0.2690 0.0672  0.95
Ce 0.8655 0.7310 0.5672  0.95
S 0.9742 0.9483 0.7500  -0.01
S 0.2238 0.4477 0.8722  -0.02
S 0.7762 0.5523 0.3722  -0.02

Computed properties:
Energy relative to the elements, uncorrected ... -184.46 kJ/mol of atoms
Space group ... Cmcm, No. 63
DOS at the Fermi energy ... 1.886 states/eV per atom


(4)
Entry from Alexandria via LeMat-Bulk: a relaxed structure of SmNpSe3 (PBE-GGA).

a b c (Å): 4.2102 4.2102 20.0845
angles (deg): 90.00 90.00 120.00
Last column: magnetic moment on the atom in μB.
Element x y z (fractional)
Se 0.3333 0.6667 0.0360  -0.11
Sm 0.6667 0.3333 0.2829  0.03
Sm 0.3333 0.6667 0.7829  0.03
Np 0.0000 0.0000 0.4659  3.88
Se 0.0000 0.0000 0.2121  0.00
Se 0.3333 0.6667 0.3782  -0.05
Se 0.0000 0.0000 0.7121  0.00
Se 0.6667 0.3333 0.5360  -0.11
Se 0.6667 0.3333 0.8782  -0.05
Np 0.0000 0.0000 0.9659  3.88

Computed properties:
Energy relative to the elements, uncorrected ... -138.13 kJ/mol of atoms
Space group ... P6_3mc, No. 186
DOS at the Fermi energy ... 2.429 states/eV per atom


(5)
Entry from Alexandria via LeMat-Bulk: a relaxed structure of Th3AlGa4 (PBE-GGA).

a b c (Å): 4.5242 6.1956 8.2647
angles (deg): 112.01 105.88 90.00
Element x y z (fractional)
Ga 0.3753 0.5807 0.7506
Th 0.0000 0.5000 0.0000
Th 0.8140 0.8140 0.6279
Al 0.5000 0.0000 0.0000
Ga 0.6247 0.4193 0.2494
Th 0.1860 0.1860 0.3721
Ga 0.3753 0.1699 0.7506
Ga 0.6247 0.8301 0.2494

Computed properties:
Space group ... Immm, No. 71
E_form ... -294 meV/atom
DOS at the Fermi energy ... 0.644 states/eV per atom


(6)
Entry from Alexandria via LeMat-Bulk: a relaxed structure of Mg2In3Hg3 (PBE-GGA).

a b c (Å): 7.2839 8.4180 8.4852
angles (deg): 119.46 113.63 90.03
Element x y z (fractional)
Mg 0.9617 0.6605 0.4144
In 0.3205 0.0056 0.8075
Hg 0.7505 0.5942 0.0011
Hg 0.8543 0.0406 0.6237
Hg 0.3530 0.5814 0.6194
Hg 0.6470 0.4186 0.3806
In 0.2465 0.7554 0.9946
In 0.1852 0.1938 0.1898
Mg 0.5378 0.2470 0.5916
Mg 0.0383 0.3395 0.5856
Mg 0.4622 0.7530 0.4084
Hg 0.1457 0.9594 0.3763
In 0.6795 0.9944 0.1925
In 0.7535 0.2446 0.0054
In 0.8148 0.8062 0.8102
Hg 0.2495 0.4058 0.9989

Computed properties:
Space group ... P-1, No. 2
E_form ... -54 meV/atom
DOS at the Fermi energy ... 0.286 states/eV per atom